Here is a geometry-optimized ScNi2PtC structure from Alexandria. Energies are from PBE.

Properties
Uncorrected energy   -34.6 eV for the cell shown
Energy of formation   -0.284 eV/atom

```
data_ScNi2PtC
_cell_length_a 3.8079
_cell_length_b 3.8079
_cell_length_c 4.4340
_cell_angle_alpha 90.00
_cell_angle_beta 90.00
_cell_angle_gamma 90.00
_space_group_name_H-M_alt 'P 4/m m m'
_space_group_IT_number 123
_space_group_name_Hall '-P 4 2'
loop_
_atom_site_label
_atom_site_type_symbol
_atom_site_fract_x
_atom_site_fract_y
_atom_site_fract_z
Sc1 Sc 0.0000 0.0000 0.0000
Ni1 Ni 0.0000 0.5000 0.5000
Pt1 Pt 0.5000 0.5000 0.0000
C1 C 0.0000 0.0000 0.5000
```

***

Here is a geometry-optimized NdAgRh structure from Alexandria. Energies are from PBE.

Properties
Uncorrected energy   -250.6 eV for the cell shown
Energy of formation   -0.230 eV/atom
Energy relative to the lowest polymorph listed for this composition   202.9 meV per atom

```
data_NdAgRh
_cell_length_a 5.3432
_cell_length_b 14.1506
_cell_length_c 15.1420
_cell_angle_alpha 90.00
_cell_angle_beta 90.00
_cell_angle_gamma 90.00
_space_group_name_H-M_alt 'F m m m'
_space_group_IT_number 69
_space_group_name_Hall '-F 2 2'
loop_
_atom_site_label
_atom_site_type_symbol
_atom_site_fract_x
_atom_site_fract_y
_atom_site_fract_z
Nd1 Nd 0.0000 0.1397 0.1318
Ag1 Ag 0.0000 0.0000 0.4002
Ag2 Ag 0.0000 0.1755 0.5000
Rh1 Rh 0.0000 0.1740 0.3126
```

***

Here is a geometry-optimized Ge3RhO structure from Alexandria. Energies are from PBE.

Properties
Uncorrected energy   -25.9 eV for the cell shown
Energy relative to the elements, uncorrected   0.05 eV/atom
Energy relative to the lowest polymorph listed for this composition   0.0 meV per atom

```
data_Ge3RhO
_cell_length_a 4.3010
_cell_length_b 4.3010
_cell_length_c 4.3010
_cell_angle_alpha 90.00
_cell_angle_beta 90.00
_cell_angle_gamma 90.00
_space_group_name_H-M_alt 'P m -3 m'
_space_group_IT_number 221
_space_group_name_Hall '-P 4 2 3'
loop_
_atom_site_label
_atom_site_type_symbol
_atom_site_fract_x
_atom_site_fract_y
_atom_site_fract_z
Ge1 Ge 0.0000 0.0000 0.5000
Rh1 Rh 0.5000 0.5000 0.5000
O1 O 0.0000 0.0000 0.0000
```

***

Here is a geometry-optimized La3Mg7Ag2 structure from Alexandria. Energies are from PBE.

Properties
Uncorrected energy   -101.0 eV for the cell shown
Energy of formation   -0.168 eV/atom

```
data_La3Mg7Ag2
_cell_length_a 6.0678
_cell_length_b 6.0678
_cell_length_c 29.1316
_cell_angle_alpha 90.00
_cell_angle_beta 90.00
_cell_angle_gamma 120.00
_space_group_name_H-M_alt 'R -3 m'
_space_group_IT_number 166
_space_group_name_Hall '-R 3 2"'
loop_
_atom_site_label
_atom_site_type_symbol
_atom_site_fract_x
_atom_site_fract_y
_atom_site_fract_z
La1 La 0.0000 0.0000 0.0000
La2 La 0.0000 0.0000 0.1468
Mg1 Mg 0.0000 0.0000 0.5000
Mg2 Mg 0.0019 0.5010 0.9220
Ag1 Ag 0.0000 0.0000 0.3340
```

***

Here is a geometry-optimized CdAg2Br structure from Alexandria. Energies are from PBE.

Properties
Uncorrected energy   -8.6 eV for the cell shown
Energy relative to the elements, uncorrected   -0.07 eV/atom
Energy relative to the lowest polymorph listed for this composition   1.8 meV per atom

```
data_CdAg2Br
_cell_length_a 3.6424
_cell_length_b 3.5806
_cell_length_c 7.2846
_cell_angle_alpha 90.00
_cell_angle_beta 90.31
_cell_angle_gamma 90.00
_space_group_name_H-M_alt 'P 1 m 1'
_space_group_IT_number 6
loop_
_space_group_symop_operation_xyz
'x,y,z'
'x,-y,z'
loop_
_atom_site_label
_atom_site_type_symbol
_atom_site_fract_x
_atom_site_fract_y
_atom_site_fract_z
Cd1 Cd 0.0000 0.0000 0.0000
Ag1 Ag 0.0053 0.0000 0.3906
Ag2 Ag 0.5027 0.5000 0.1975
Br1 Br 0.9983 0.5000 0.6926
```

***

Here is a geometry-optimized Ac5Pm4Dy2 structure from Alexandria. Energies are from PBE.

Properties
Uncorrected energy   -47.0 eV for the cell shown
Energy of formation   0.162 eV/atom

```
data_Ac5Pm4Dy2
_cell_length_a 9.3493
_cell_length_b 3.6940
_cell_length_c 12.5385
_cell_angle_alpha 90.00
_cell_angle_beta 92.47
_cell_angle_gamma 90.00
_space_group_name_H-M_alt 'P 1 2/m 1'
_space_group_IT_number 10
loop_
_space_group_symop_operation_xyz
'x,y,z'
'-x,-y,-z'
'-x,y,-z'
'x,-y,z'
loop_
_atom_site_label
_atom_site_type_symbol
_atom_site_fract_x
_atom_site_fract_y
_atom_site_fract_z
Ac1 Ac 0.0000 0.0000 0.0000
Ac2 Ac 0.1985 0.0000 0.5248
Ac3 Ac 0.2839 0.0000 0.8183
Pm1 Pm 0.0779 0.5000 0.2662
Pm2 Pm 0.4615 0.5000 0.3541
Dy1 Dy 0.3475 0.0000 0.1211
```

***

Here is a geometry-optimized FeRe2RuBr structure from Alexandria. Energies are from PBE.

Properties
Uncorrected energy   -34.6 eV for the cell shown
Energy relative to the elements, uncorrected   1.94 eV/atom

```
data_FeRe2RuBr
_cell_length_a 4.5018
_cell_length_b 4.5018
_cell_length_c 4.4884
_cell_angle_alpha 90.00
_cell_angle_beta 90.00
_cell_angle_gamma 90.00
_space_group_name_H-M_alt 'P 4/m m m'
_space_group_IT_number 123
_space_group_name_Hall '-P 4 2'
loop_
_atom_site_label
_atom_site_type_symbol
_atom_site_fract_x
_atom_site_fract_y
_atom_site_fract_z
Fe1 Fe 0.0000 0.0000 0.0000
Re1 Re 0.0000 0.5000 0.0000
Ru1 Ru 0.0000 0.0000 0.5000
Br1 Br 0.5000 0.5000 0.5000
```

***

Here is a geometry-optimized TaIrS2 structure from Alexandria. Energies are from PBE.

Properties
Uncorrected energy   -116.4 eV for the cell shown
Energy relative to the elements, uncorrected   -0.03 eV/atom
Energy relative to the lowest polymorph listed for this composition   397.5 meV per atom

```
data_TaIrS2
_cell_length_a 6.1359
_cell_length_b 6.1359
_cell_length_c 6.1359
_cell_angle_alpha 90.00
_cell_angle_beta 90.00
_cell_angle_gamma 90.00
_space_group_name_H-M_alt 'F m -3 m'
_space_group_IT_number 225
_space_group_name_Hall '-F 4 2 3'
loop_
_atom_site_label
_atom_site_type_symbol
_atom_site_fract_x
_atom_site_fract_y
_atom_site_fract_z
Ta1 Ta 0.0000 0.0000 0.0000
Ir1 Ir 0.0000 0.0000 0.5000
S1 S 0.2500 0.2500 0.2500
```

***

Here is a geometry-optimized Li2CuPdN structure from Alexandria. Energies are from PBE.

Properties
Uncorrected energy   -22.1 eV for the cell shown
Energy relative to the elements, uncorrected   -0.14 eV/atom
Energy relative to the lowest polymorph listed for this composition   0.0 meV per atom

```
data_Li2CuPdN
_cell_length_a 3.9464
_cell_length_b 3.9464
_cell_length_c 3.7173
_cell_angle_alpha 90.00
_cell_angle_beta 90.00
_cell_angle_gamma 90.00
_space_group_name_H-M_alt 'P 4/m m m'
_space_group_IT_number 123
_space_group_name_Hall '-P 4 2'
loop_
_atom_site_label
_atom_site_type_symbol
_atom_site_fract_x
_atom_site_fract_y
_atom_site_fract_z
Li1 Li 0.0000 0.5000 0.0000
Cu1 Cu 0.0000 0.0000 0.5000
Pd1 Pd 0.5000 0.5000 0.5000
N1 N 0.0000 0.0000 0.0000
```

***

Here is a geometry-optimized MnGeSe2N structure from Alexandria. Energies are from PBE.

Properties
Uncorrected energy   -28.2 eV for the cell shown
Energy relative to the elements, uncorrected   0.17 eV/atom
Energy relative to the lowest polymorph listed for this composition   0.0 meV per atom

```
data_MnGeSe2N
_cell_length_a 5.0396
_cell_length_b 5.0396
_cell_length_c 3.5009
_cell_angle_alpha 90.00
_cell_angle_beta 90.00
_cell_angle_gamma 90.00
_space_group_name_H-M_alt 'P 4/m m m'
_space_group_IT_number 123
_space_group_name_Hall '-P 4 2'
loop_
_atom_site_label
_atom_site_type_symbol
_atom_site_fract_x
_atom_site_fract_y
_atom_site_fract_z
Mn1 Mn 0.0000 0.0000 0.0000
Ge1 Ge 0.5000 0.5000 0.5000
Se1 Se 0.0000 0.5000 0.0000
N1 N 0.0000 0.0000 0.5000
```

***

Here is a geometry-optimized Np4Sb8Ru3 structure from Alexandria. Energies are from PBE.

Properties
Uncorrected energy   -114.6 eV for the cell shown
Energy relative to the elements, uncorrected   -0.14 eV/atom

```
data_Np4Sb8Ru3
_cell_length_a 4.3874
_cell_length_b 4.3874
_cell_length_c 18.1333
_cell_angle_alpha 90.00
_cell_angle_beta 90.00
_cell_angle_gamma 90.00
_space_group_name_H-M_alt 'P -4 m 2'
_space_group_IT_number 115
loop_
_space_group_symop_operation_xyz
'x,y,z'
'y,-x,-z'
'-x,-y,z'
'-y,x,-z'
'-x,y,z'
'-y,-x,-z'
'x,-y,z'
'y,x,-z'
loop_
_atom_site_label
_atom_site_type_symbol
_atom_site_fract_x
_atom_site_fract_y
_atom_site_fract_z
Np1 Np 0.0000 0.5000 0.1109
Np2 Np 0.0000 0.5000 0.6146
Sb1 Sb 0.0000 0.0000 0.2495
Sb2 Sb 0.0000 0.5000 0.4218
Sb3 Sb 0.0000 0.5000 0.9081
Sb4 Sb 0.5000 0.5000 0.2493
Ru1 Ru 0.0000 0.0000 0.0000
Ru2 Ru 0.0000 0.0000 0.5000
Ru3 Ru 0.5000 0.5000 0.0000
```

***

Here is a geometry-optimized ScZnGaBi2 structure from Alexandria. Energies are from PBE.

Properties
Uncorrected energy   -17.0 eV for the cell shown
Energy of formation   0.280 eV/atom

```
data_ScZnGaBi2
_cell_length_a 5.5707
_cell_length_b 5.5707
_cell_length_c 5.4245
_cell_angle_alpha 90.00
_cell_angle_beta 90.00
_cell_angle_gamma 90.00
_space_group_name_H-M_alt 'P 4/m m m'
_space_group_IT_number 123
_space_group_name_Hall '-P 4 2'
loop_
_atom_site_label
_atom_site_type_symbol
_atom_site_fract_x
_atom_site_fract_y
_atom_site_fract_z
Sc1 Sc 0.0000 0.0000 0.0000
Zn1 Zn 0.0000 0.0000 0.5000
Ga1 Ga 0.5000 0.5000 0.5000
Bi1 Bi 0.0000 0.5000 0.0000
```

***

What did we get for total magnetic moment? Answer: 0.0 0.0 0.0 0.0 0.0 0.0 1.6 0.0 0.0 1.8 7.5 0.0 μB/f.u., in the order shown.